[1]
Below is Ta3Pd5 after structural relaxation, with properties calculated at the PBE level.

Lattice parameters (Å, degrees): 5.7441 11.4838 3.9036 90.00 90.00 90.00
Positions (direct):
Ta 0.0000 0.0000 0.0000
Ta 0.2438 0.3730 0.5000
Ta 0.2562 0.8730 0.5000
Ta 0.5000 0.5000 0.0000
Ta 0.7438 0.1270 0.5000
Ta 0.7562 0.6270 0.5000
Pd 0.0000 0.5000 0.0000
Pd 0.0013 0.2483 0.0000
Pd 0.2489 0.1247 0.5000
Pd 0.2511 0.6247 0.5000
Pd 0.4987 0.7483 0.0000
Pd 0.5000 0.0000 0.0000
Pd 0.5013 0.2517 0.0000
Pd 0.7489 0.3753 0.5000
Pd 0.7511 0.8753 0.5000
Pd 0.9987 0.7517 0.0000

## Properties
* formation enthalpy at 0 K: -0.32 eV/atom
* VASP energy: -64.12 eV per formula unit

[2]
Below is TaPd after structural relaxation, with properties calculated at the PBE level.

Lattice parameters (Å, degrees): 4.1040 4.1040 4.1040 60.00 60.00 60.00
Positions (direct):
Ta 0.0000 0.0000 0.0000
Pd 0.2500 0.2500 0.2500

## Properties
* formation enthalpy at 0 K: 1.12 eV/atom
* VASP energy: -14.81 eV per formula unit

[3]
Below is TaPd after structural relaxation, with properties calculated at the PBE level.

Lattice parameters (Å, degrees): 6.3756 6.2957 5.3186 65.97 64.40 49.63
Positions (direct):
Ta 0.0543 0.6957 0.0543
Ta 0.3043 0.9457 0.3043
Ta 0.6957 0.0543 0.6957
Ta 0.9457 0.3043 0.9457
Pd 0.1975 0.5525 0.5525
Pd 0.4475 0.8025 0.8025
Pd 0.5525 0.1975 0.1975
Pd 0.8025 0.4475 0.4475

## Properties
* formation enthalpy at 0 K: 0.23 eV/atom
* VASP energy: -16.59 eV per formula unit

[4]
Below is TaPd4 after structural relaxation, with properties calculated at the PBE level.

Lattice parameters (Å, degrees): 5.1103 5.1103 5.1103 121.22 121.22 87.91
Positions (direct):
Ta 0.0000 0.0000 0.0000
Pd 0.2500 0.7500 0.5000
Pd 0.3345 0.3345 0.0000
Pd 0.6655 0.6655 0.0000
Pd 0.7500 0.2500 0.5000

## Properties
* formation enthalpy at 0 K: 0.51 eV/atom
* VASP energy: -30.08 eV per formula unit

| no. | mass density (g/cm3) |
| --- | --- |
| 1 | 13.86 |
| 2 | 9.76 |
| 3 | 13.24 |
| 4 | 10.88 |